The following is a PBE calculation of a relaxed LaAu crystal, from Alexandria.

Geometry as POSCAR:
```
LaAu
1.0
8.868 0.000 0.000
0.000 8.868 0.000
0.000 0.000 5.863
Au La
8 8
direct
0.782 0.076 0.000
0.424 0.282 0.500
0.924 0.782 0.000
0.076 0.218 0.000
0.282 0.576 0.500
0.718 0.424 0.500
0.576 0.718 0.500
0.218 0.924 0.000
0.711 0.062 0.500
0.211 0.562 0.000
0.438 0.211 0.000
0.289 0.938 0.500
0.062 0.289 0.500
0.789 0.438 0.000
0.562 0.789 0.000
0.938 0.711 0.500
```

Results
Magnetic moment in μB/atom: 0.00
Volume in Å³/cell: 461
Energy of formation from the pure elements in meV/atom: -595
Crystal system: tetragonal



The following is a PBE calculation of a relaxed LaAu crystal, from Alexandria.

Geometry as POSCAR:
```
LaAu
1.0
-3.831 3.026 -3.468
-0.964 1.400 -5.742
-0.636 -9.682 6.122
Au La
3 3
direct
0.632 0.632 0.365
0.062 0.062 0.701
0.095 0.095 0.991
0.328 0.328 0.690
0.850 0.850 0.036
0.366 0.366 0.384
```

Results
Magnetic moment in μB/atom: 0.00
Volume in Å³/cell: 174
Energy of formation from the pure elements in meV/atom: -755
Crystal system: monoclinic



The following is a PBE calculation of a relaxed La5Au3 crystal, from Alexandria.

Geometry as POSCAR:
```
La5Au3
1.0
6.643 0.000 0.000
3.321 8.448 0.000
3.321 0.000 8.448
La Au
10 6
direct
0.415 0.872 0.297
0.288 0.297 0.128
0.712 0.703 0.872
0.788 0.128 0.297
0.585 0.128 0.703
0.250 0.500 0.500
0.750 0.500 0.500
0.212 0.872 0.703
0.085 0.703 0.128
0.915 0.297 0.872
0.341 0.500 0.818
0.659 0.500 0.182
0.250 0.000 0.000
0.159 0.182 0.500
0.750 0.000 0.000
0.841 0.818 0.500
```

Results
Magnetic moment in μB/atom: 0.00
E above lowest polymorph in eV/f.u.: 0.21
Volume in Å³/cell: 474
Energy of formation from the pure elements in meV/atom: -570
Crystal system: tetragonal



The following is a PBE calculation of a relaxed LaAu2 crystal, from Alexandria.

Geometry as POSCAR:
```
LaAu2
1.0
6.787 0.000 0.003
5.442 4.056 0.003
-9.452 -3.135 5.385
La Au
2 4
direct
0.722 0.722 0.367
0.723 0.723 0.022
0.223 0.223 0.565
0.221 0.221 0.824
0.471 0.471 0.443
0.974 0.974 0.946
```

Results
Magnetic moment in μB/atom: 0.00
Volume in Å³/cell: 148
Energy of formation from the pure elements in meV/atom: -732
Crystal system: monoclinic



The following is a PBE calculation of a relaxed LaAu crystal, from Alexandria.

Geometry as POSCAR:
```
LaAu
1.0
9.097 0.000 0.000
-4.549 7.879 0.000
0.000 0.000 4.985
Au La
6 6
direct
0.557 0.443 0.250
0.886 0.443 0.250
0.114 0.557 0.750
0.443 0.557 0.750
0.443 0.886 0.750
0.557 0.114 0.250
0.379 0.189 0.750
0.621 0.811 0.250
0.189 0.379 0.250
0.811 0.621 0.750
0.811 0.189 0.750
0.189 0.811 0.250
```

Results
Magnetic moment in μB/atom: 0.00
Volume in Å³/cell: 357
Energy of formation from the pure elements in meV/atom: -616
Crystal system: hexagonal



The following is a PBE calculation of a relaxed LaAu crystal, from Alexandria.

Geometry as POSCAR:
```
LaAu
1.0
-3.846 -0.024 -1.074
0.187 -4.813 -0.563
0.377 -0.695 6.066
La Au
2 2
direct
0.865 0.250 0.729
0.135 0.750 0.271
0.588 0.250 0.175
0.412 0.750 0.825
```

Results
Magnetic moment in μB/atom: 0.00
Volume in Å³/cell: 112
Energy of formation from the pure elements in meV/atom: -823
Crystal system: orthorhombic



The following is a PBE calculation of a relaxed LaAu6 crystal, from Alexandria.

Geometry as POSCAR:
```
LaAu6
1.0
-1.586 0.475 5.473
-8.539 -2.148 -2.288
2.316 -10.931 1.620
Au La
24 4
direct
0.750 0.686 0.272
0.250 0.069 0.918
0.991 0.058 0.694
0.750 0.608 0.021
0.250 0.814 0.772
0.509 0.058 0.694
0.750 0.186 0.228
0.750 0.847 0.847
0.491 0.442 0.194
0.250 0.892 0.521
0.009 0.942 0.306
0.750 0.931 0.082
0.491 0.942 0.306
0.009 0.442 0.194
0.750 0.431 0.418
0.250 0.569 0.582
0.250 0.153 0.153
0.250 0.653 0.347
0.750 0.108 0.479
0.750 0.347 0.653
0.509 0.558 0.806
0.991 0.558 0.806
0.250 0.314 0.728
0.250 0.392 0.979
0.250 0.263 0.434
0.750 0.737 0.566
0.250 0.763 0.066
0.750 0.237 0.934
```

Results
Magnetic moment in μB/atom: 0.00
E above lowest polymorph in eV/f.u.: 0.00
Volume in Å³/cell: 587
Energy of formation from the pure elements in meV/atom: -427
Crystal system: orthorhombic



The following is a PBE calculation of a relaxed LaAu crystal, from Alexandria.

Geometry as POSCAR:
```
LaAu
1.0
4.166 0.000 0.000
-2.083 3.608 0.000
0.000 0.000 4.023
Au La
1 1
direct
0.000 0.000 0.000
0.333 0.667 0.500
```

Results
Magnetic moment in μB/atom: 0.00
Volume in Å³/cell: 60
Energy of formation from the pure elements in meV/atom: -718
Crystal system: hexagonal



The following is a PBE calculation of a relaxed LaAu crystal, from Alexandria.

Geometry as POSCAR:
```
LaAu
1.0
4.906 -1.202 -0.735
3.450 3.690 -0.735
3.450 1.027 3.620
La Au
2 2
direct
0.500 0.500 0.500
0.750 0.750 0.750
0.000 0.000 0.000
0.250 0.250 0.250
```

Results
Magnetic moment in μB/atom: 0.00
Volume in Å³/cell: 94
Energy of formation from the pure elements in meV/atom: -640
Crystal system: cubic



The following is a PBE calculation of a relaxed LaAu crystal, from Alexandria.

Geometry as POSCAR:
```
LaAu
1.0
-7.667 -4.701 8.347
7.376 -4.719 4.118
1.329 6.179 4.701
Au La
16 16
direct
0.250 0.750 0.947
0.750 0.750 0.447
0.000 0.000 0.697
0.500 0.000 0.803
0.000 0.500 0.197
0.500 0.500 0.303
0.000 0.000 0.303
0.750 0.250 0.947
0.500 0.500 0.697
0.500 0.000 0.197
0.250 0.750 0.553
0.250 0.250 0.053
0.000 0.500 0.803
0.750 0.250 0.553
0.250 0.250 0.447
0.750 0.750 0.053
0.000 0.285 0.500
0.500 0.785 0.500
0.750 0.465 0.250
0.250 0.535 0.250
0.750 0.535 0.750
0.000 0.785 0.000
0.750 0.035 0.250
0.500 0.715 0.000
0.500 0.215 0.500
0.500 0.285 0.000
0.750 0.965 0.750
0.250 0.035 0.750
0.250 0.465 0.750
0.000 0.215 0.000
0.000 0.715 0.500
0.250 0.965 0.250
```

Results
Magnetic moment in μB/atom: 0.00
Volume in Å³/cell: 935
Energy of formation from the pure elements in meV/atom: -722
Crystal system: orthorhombic



The following is a PBE calculation of a relaxed La3Au crystal, from Alexandria.

Geometry as POSCAR:
```
La3Au
1.0
-5.926 3.008 -0.357
-4.310 -2.618 -4.343
3.648 -0.896 5.494
La Au
3 1
direct
0.650 0.294 0.357
0.063 0.706 0.357
0.435 0.500 0.935
0.019 0.000 0.019
```

Results
Magnetic moment in μB/atom: 0.00
Volume in Å³/cell: 127
Energy of formation from the pure elements in meV/atom: -376
Crystal system: orthorhombic



The following is a PBE calculation of a relaxed LaAu2 crystal, from Alexandria.

Geometry as POSCAR:
```
LaAu2
1.0
9.654 0.015 0.000
7.911 5.533 0.000
-8.783 -2.774 2.894
La Au
2 4
direct
0.000 0.000 0.000
0.750 0.250 0.500
0.325 0.825 0.500
0.575 0.575 0.000
0.425 0.425 0.000
0.175 0.675 0.500
```

Results
Magnetic moment in μB/atom: 0.00
Volume in Å³/cell: 154
Energy of formation from the pure elements in meV/atom: -770
Crystal system: tetragonal